Below is K3Rb4SnBr8 after structural relaxation, with properties calculated at the PBE level.

The structure in extended XYZ format:
```
16
Lattice="8.555 -4.745 0.000 8.555 4.745 0.000 -5.141 0.000 8.051" Properties=species:S:1:pos:R:3 pbc="T T T"
K 0.000 0.000 0.000
K 1.707 2.372 4.025
K 1.707 -2.372 4.025
Rb -2.571 0.000 4.025
Rb 4.277 2.372 0.000
Rb 4.277 -2.372 0.000
Rb 5.984 0.000 4.025
Sn 8.555 0.000 0.000
Br 0.178 0.000 5.761
Br 2.914 0.000 2.052
Br 4.528 2.245 6.175
Br 7.440 2.245 1.876
Br 4.528 -2.245 6.175
Br 7.440 -2.245 1.876
Br 9.054 0.000 5.999
Br 11.790 0.000 2.290
```

Values from the calculation:
Its formation energy from raw total energies is -1.51 eV per atom. Its space group is No. 12.

Below is LaTlSi2 after structural relaxation, with properties calculated at the PBE level.

The structure in extended XYZ format:
```
4
Lattice="-2.174 2.174 4.911 2.174 -2.174 4.911 2.174 2.174 -4.911" Properties=species:S:1:pos:R:3 pbc="T T T"
La 0.000 0.000 0.000
Tl 0.000 2.174 2.456
Si 2.174 0.000 2.456
Si 0.000 0.000 4.911
```

Values from the calculation:
The energy above the most stable polymorph in this dataset comes out at 177.4 meV per atom. Its formation energy from raw total energies is -0.05 eV per atom. Its space group is No. 119.

Below is Na4Eu2SiAs4 after structural relaxation, with properties calculated at the PBE level.

The structure in extended XYZ format:
```
22
Lattice="4.784 -8.244 0.000 4.784 8.244 0.000 -0.236 0.000 7.322" Properties=species:S:1:pos:R:3 pbc="T T T"
Na 4.666 7.065 3.661
Na 5.544 4.369 1.544
Na 5.582 1.254 0.357
Na 7.522 2.396 3.879
Na 5.465 -1.254 4.018
Na 5.426 -4.369 5.205
Na 4.784 -7.065 0.000
Na 7.640 -2.396 0.219
Eu 2.592 0.380 5.160
Eu 4.671 3.946 5.192
Eu 2.710 -0.380 1.499
Eu 4.789 -3.946 1.531
Si 2.767 2.739 2.374
Si 2.649 -2.739 6.034
As 2.600 2.667 7.256
As 5.364 6.656 6.680
As 4.696 1.554 3.230
As 2.717 -2.667 3.595
As 7.331 3.232 6.772
As 4.578 -1.554 6.891
As 7.449 -3.232 3.111
As 5.482 -6.656 3.019
```

Values from the calculation:
Its formation energy from raw total energies is -0.68 eV per atom. Its space group is No. 9.

Please write out number 1 again, unchanged.
Below is K3Rb4SnBr8 after structural relaxation, with properties calculated at the PBE level.

The structure in extended XYZ format:
```
16
Lattice="8.555 -4.745 0.000 8.555 4.745 0.000 -5.141 0.000 8.051" Properties=species:S:1:pos:R:3 pbc="T T T"
K 0.000 0.000 0.000
K 1.707 2.372 4.025
K 1.707 -2.372 4.025
Rb -2.571 0.000 4.025
Rb 4.277 2.372 0.000
Rb 4.277 -2.372 0.000
Rb 5.984 0.000 4.025
Sn 8.555 0.000 0.000
Br 0.178 0.000 5.761
Br 2.914 0.000 2.052
Br 4.528 2.245 6.175
Br 7.440 2.245 1.876
Br 4.528 -2.245 6.175
Br 7.440 -2.245 1.876
Br 9.054 0.000 5.999
Br 11.790 0.000 2.290
```

Values from the calculation:
Its formation energy from raw total energies is -1.51 eV per atom. Its space group is No. 12.